Al2CoMo after structural relaxation, computed with PBE-GGA.

Summary:
formation energy = -0.14 eV/atom
SG = Pm (6)
energy above the lowest structure with this stoichiometry = 205 meV per atom
total DFT energy (no corrections) = -0.47709 Ry/atom

Cell lengths 2.764, 4.103, 5.106 Å; angles 90.00, 105.42, 90.00 degrees
Positions (direct):
Al1 0.000 0.000 0.000
Al2 0.381 0.500 0.762
Co1 0.133 0.500 0.250
Mo1 0.737 0.000 0.474